Run A
A geometry-optimized GaNi6Pt structure, computed with PBE.

Cell lengths 4.1962, 5.1151, 5.1151 Å; angles 119.98, 90.00, 90.00 degrees
With the nearest neighbours (Å) after each atom.
Sites, in units of the cell vectors:
Ga (0.5000, 0.4164, 0.5836)  12 Ni 2.56-2.58
Ni (0.0000, 0.0777, 0.4137)  8 Ni 2.51-2.60, 2 Pt 2.56, 2 Ga 2.58
Ni (0.0000, 0.5863, 0.9223)  8 Ni 2.51-2.60, 2 Pt 2.56, 2 Ga 2.58
Ni (0.0000, 0.5864, 0.4136)  8 Ni 2.51-2.60, 2 Pt 2.56, 2 Ga 2.58
Ni (0.5000, 0.4228, 0.0868)  8 Ni 2.51-2.61, 2 Ga 2.56, 2 Pt 2.58
Ni (0.5000, 0.9132, 0.5772)  8 Ni 2.51-2.61, 2 Ga 2.56, 2 Pt 2.58
Ni (0.5000, 0.9134, 0.0866)  8 Ni 2.51-2.61, 2 Ga 2.56, 2 Pt 2.58
Pt (0.0000, 0.0834, 0.9166)  12 Ni 2.56-2.58

Properties
- SG: No. 187

***

Run B
A geometry-optimized GaNi6Pt structure, computed with PBE.

Cell lengths 6.2654, 6.2654, 10.2452 Å; angles 90.00, 90.00, 109.61 degrees
With the nearest neighbours (Å) after each atom.
Sites, in units of the cell vectors:
Ga (0.7495, 0.2505, 0.7500)  12 Ni 2.52-2.57
Ga (0.2505, 0.7495, 0.7500)  12 Ni 2.52-2.57
Ga (0.0000, 0.0000, 0.5025)  12 Ni 2.54-2.59
Ga (0.0000, 0.0000, 0.9975)  12 Ni 2.54-2.59
Ni (0.7520, 0.2480, 0.5037)  2 Ga 2.52-2.54, 8 Ni 2.53-2.59, 2 Pt 2.58-2.60
Ni (0.6286, 0.8768, 0.3778)  1 Ga 2.54, 8 Ni 2.54-2.62, 3 Pt 2.56-2.59
Ni (0.3714, 0.1232, 0.3778)  1 Ga 2.54, 8 Ni 2.54-2.62, 3 Pt 2.56-2.59
Ni (0.2480, 0.7520, 0.5037)  2 Ga 2.52-2.54, 8 Ni 2.53-2.59, 2 Pt 2.58-2.60
Ni (0.1232, 0.3714, 0.3778)  1 Ga 2.54, 8 Ni 2.54-2.62, 3 Pt 2.56-2.59
Ni (0.8768, 0.6286, 0.3778)  1 Ga 2.54, 8 Ni 2.54-2.62, 3 Pt 2.56-2.59
Ni (0.5000, 0.5000, 0.7500)  2 Pt 2.55, 2 Ga 2.55, 8 Ni 2.56
Ni (0.3739, 0.1225, 0.6274)  8 Ni 2.51-2.57, 3 Ga 2.53-2.55, 1 Pt 2.58
Ni (0.1225, 0.3739, 0.6274)  8 Ni 2.51-2.57, 3 Ga 2.53-2.55, 1 Pt 2.58
Ni (0.7520, 0.2480, 0.9963)  2 Ga 2.52-2.54, 8 Ni 2.53-2.59, 2 Pt 2.58-2.60
Ni (0.6261, 0.8775, 0.8726)  8 Ni 2.51-2.57, 3 Ga 2.53-2.55, 1 Pt 2.58
Ni (0.3739, 0.1225, 0.8726)  8 Ni 2.51-2.57, 3 Ga 2.53-2.55, 1 Pt 2.58
Ni (0.2480, 0.7520, 0.9963)  2 Ga 2.52-2.54, 8 Ni 2.53-2.59, 2 Pt 2.58-2.60
Ni (0.1225, 0.3739, 0.8726)  8 Ni 2.51-2.57, 3 Ga 2.53-2.55, 1 Pt 2.58
Ni (0.8775, 0.6261, 0.8726)  8 Ni 2.51-2.57, 3 Ga 2.53-2.55, 1 Pt 2.58
Ni (0.5000, 0.5000, 0.2500)  4 Pt 2.57, 8 Ni 2.58
Ni (0.3714, 0.1232, 0.1222)  1 Ga 2.54, 8 Ni 2.54-2.62, 3 Pt 2.56-2.59
Ni (0.1232, 0.3714, 0.1222)  1 Ga 2.54, 8 Ni 2.54-2.62, 3 Pt 2.56-2.59
Ni (0.0000, 0.0000, 0.7500)  4 Ga 2.54-2.57, 8 Ni 2.54
Ni (0.8775, 0.6261, 0.6274)  8 Ni 2.51-2.57, 3 Ga 2.53-2.55, 1 Pt 2.58
Ni (0.6261, 0.8775, 0.6274)  8 Ni 2.51-2.57, 3 Ga 2.53-2.55, 1 Pt 2.58
Ni (0.0000, 0.0000, 0.2500)  8 Ni 2.55, 2 Pt 2.55, 2 Ga 2.59
Ni (0.8768, 0.6286, 0.1222)  1 Ga 2.54, 8 Ni 2.54-2.62, 3 Pt 2.56-2.59
Ni (0.6286, 0.8768, 0.1222)  1 Ga 2.54, 8 Ni 2.54-2.62, 3 Pt 2.56-2.59
Pt (0.7506, 0.2494, 0.2500)  12 Ni 2.55-2.60
Pt (0.2494, 0.7506, 0.2500)  12 Ni 2.55-2.60
Pt (0.5000, 0.5000, 0.5008)  12 Ni 2.55-2.58
Pt (0.5000, 0.5000, 0.9992)  12 Ni 2.55-2.58

Properties
- SG: No. 65

***

Most stable one: run B, least stable one: run A.

***

Run A
A geometry-optimized Ga2Ni4Pt structure, computed with PBE.

Cell lengths 4.0124, 6.7656, 6.7656 Å; angles 90.00, 90.00, 90.00 degrees
With the nearest neighbours (Å) after each atom.
Sites, in units of the cell vectors:
Ga (0.0000, 0.1924, 0.8076)  6 Ni 2.41-2.51
Ga (0.0000, 0.8076, 0.1924)  6 Ni 2.41-2.51
Ga (0.5000, 0.6924, 0.6924)  6 Ni 2.41-2.51
Ga (0.5000, 0.3076, 0.3076)  6 Ni 2.41-2.51
Ni (0.0000, 0.1259, 0.3841)  6 Ni 2.32-2.59, 3 Ga 2.41-2.51
Ni (0.0000, 0.8741, 0.6159)  6 Ni 2.32-2.59, 3 Ga 2.41-2.51
Ni (0.5000, 0.1159, 0.6259)  6 Ni 2.32-2.59, 3 Ga 2.41-2.51
Ni (0.5000, 0.8841, 0.3741)  6 Ni 2.32-2.59, 3 Ga 2.41-2.51
Ni (0.5000, 0.3741, 0.8841)  6 Ni 2.32-2.59, 3 Ga 2.41-2.51
Ni (0.5000, 0.6259, 0.1159)  6 Ni 2.32-2.59, 3 Ga 2.41-2.51
Ni (0.0000, 0.3841, 0.1259)  6 Ni 2.32-2.59, 3 Ga 2.41-2.51
Ni (0.0000, 0.6159, 0.8741)  6 Ni 2.32-2.59, 3 Ga 2.41-2.51
Pt (0.5000, 0.0000, 0.0000)  4 Ni 2.65, 6 Ga 2.72-2.94
Pt (0.0000, 0.5000, 0.5000)  4 Ni 2.65, 6 Ga 2.72-2.94

Properties
- SG: No. 136

***

Run B
A geometry-optimized Ga2Ni4Pt structure, computed with PBE.

Cell lengths 4.5607, 4.5607, 6.8585 Å; angles 70.58, 70.58, 90.00 degrees
With the nearest neighbours (Å) after each atom.
Sites, in units of the cell vectors:
Ni (0.2026, 0.2026, 0.5949)  1 Ga 2.27, 1 Pt 2.45
Ni (0.7974, 0.7974, 0.4051)  1 Ga 2.27, 1 Pt 2.45
Ni (0.0000, 0.5000, 0.0000)  2 Pt 2.28
Ni (0.5000, 0.0000, 0.0000)  2 Pt 2.28
Ga (0.3905, 0.3905, 0.2191)  1 Ni 2.27
Ga (0.6095, 0.6095, 0.7809)  1 Ni 2.27
Pt (0.0000, 0.0000, 0.0000)  6 Ni 2.28-2.45

Properties
- SG: No. 139

***

Most stable one: run A, least stable one: run B.